[1]
VASP calculation (PBE) on a geometry-optimized Zr4Ga structure.

Theoretical density (kg/m³): 6757
Energy above the most stable polymorph in this dataset (meV per atom): 27

Structure (CIF):
```
data_Zr4Ga
_chemical_formula_sum 'Zr16 Ga4'
_cell_length_a 4.635
_cell_length_b 6.034
_cell_length_c 15.275
_cell_angle_alpha 90.00
_cell_angle_beta 90.00
_cell_angle_gamma 90.00
_space_group_name_H-M_alt 'I m m a'
_space_group_IT_number 74
_space_group_name_Hall '-I 2b 2'
loop_
_atom_site_label
_atom_site_type_symbol
_atom_site_fract_x
_atom_site_fract_y
_atom_site_fract_z
_atom_site_occupancy
Zr1 Zr 0.000 0.000 0.000 1
Zr2 Zr 0.000 0.002 0.193 1
Zr3 Zr 0.000 0.250 0.597 1
Ga1 Ga 0.000 0.250 0.393 1
```

=====

[2]
VASP calculation (PBE) on a geometry-optimized ZrGa structure.

Theoretical density (kg/m³): 3972

Structure (CIF):
```
data_ZrGa
_chemical_formula_sum 'Zr8 Ga8'
_cell_length_a 8.134
_cell_length_b 8.134
_cell_length_c 8.134
_cell_angle_alpha 90.00
_cell_angle_beta 90.00
_cell_angle_gamma 90.00
_space_group_name_H-M_alt 'I -4 3 m'
_space_group_IT_number 217
_space_group_name_Hall 'I -4 2 3'
loop_
_atom_site_label
_atom_site_type_symbol
_atom_site_fract_x
_atom_site_fract_y
_atom_site_fract_z
_atom_site_occupancy
Zr1 Zr 0.198 0.198 0.802 1
Ga1 Ga 0.118 0.118 0.118 1
```

=====

[3]
VASP calculation (PBE) on a geometry-optimized ZrGa2 structure.

Theoretical density (kg/m³): 7063

Structure (CIF):
```
data_ZrGa2
_chemical_formula_sum 'Zr4 Ga8'
_cell_length_a 4.017
_cell_length_b 13.014
_cell_length_c 4.149
_cell_angle_alpha 90.00
_cell_angle_beta 90.00
_cell_angle_gamma 90.00
_space_group_name_H-M_alt 'C m m m'
_space_group_IT_number 65
_space_group_name_Hall '-C 2 2'
loop_
_atom_site_label
_atom_site_type_symbol
_atom_site_fract_x
_atom_site_fract_y
_atom_site_fract_z
_atom_site_occupancy
Zr1 Zr 0.000 0.150 0.000 1
Ga1 Ga 0.000 0.000 0.500 1
Ga2 Ga 0.000 0.322 0.500 1
Ga3 Ga 0.000 0.500 0.000 1
```

=====

[4]
VASP calculation (PBE) on a geometry-optimized Zr4Ga structure.

Theoretical density (kg/m³): 6475
Energy above the most stable polymorph in this dataset (meV per atom): 0

Structure (CIF):
```
data_Zr4Ga
_chemical_formula_sum 'Zr16 Ga4'
_cell_length_a 7.665
_cell_length_b 13.261
_cell_length_c 5.464
_cell_angle_alpha 90.00
_cell_angle_beta 126.61
_cell_angle_gamma 90.00
_space_group_name_H-M_alt 'C 1 2/c 1'
_space_group_IT_number 15
loop_
_space_group_symop_operation_xyz
'x,y,z'
'-x,-y,-z'
'-x,y,-z+1/2'
'x,-y,z+1/2'
'x+1/2,y+1/2,z'
'-x+1/2,-y+1/2,-z'
'-x+1/2,y+1/2,-z+1/2'
'x+1/2,-y+1/2,z+1/2'
loop_
_atom_site_label
_atom_site_type_symbol
_atom_site_fract_x
_atom_site_fract_y
_atom_site_fract_z
_atom_site_occupancy
Zr1 Zr 0.134 0.210 0.121 1
Zr2 Zr 0.228 0.060 0.614 1
Ga1 Ga 0.000 0.393 0.750 1
```

=====

[5]
VASP calculation (PBE) on a geometry-optimized ZrGa4 structure.

Theoretical density (kg/m³): 6428
Energy above the most stable polymorph in this dataset (meV per atom): 0

Structure (CIF):
```
data_ZrGa4
_chemical_formula_sum 'Zr2 Ga8'
_cell_length_a 4.640
_cell_length_b 4.640
_cell_length_c 8.882
_cell_angle_alpha 90.00
_cell_angle_beta 90.00
_cell_angle_gamma 90.00
_space_group_name_H-M_alt 'I 4/m m m'
_space_group_IT_number 139
_space_group_name_Hall '-I 4 2'
loop_
_atom_site_label
_atom_site_type_symbol
_atom_site_fract_x
_atom_site_fract_y
_atom_site_fract_z
_atom_site_occupancy
Zr1 Zr 0.000 0.000 0.000 1
Ga1 Ga 0.000 0.000 0.365 1
Ga2 Ga 0.000 0.500 0.250 1
```

=====

[6]
VASP calculation (PBE) on a geometry-optimized GdGe2 structure.

Theoretical density (kg/m³): 7769

Structure (CIF):
```
data_GdGe2
_chemical_formula_sum 'Gd2 Ge4'
_cell_length_a 3.560
_cell_length_b 3.560
_cell_length_c 10.203
_cell_angle_alpha 90.00
_cell_angle_beta 90.00
_cell_angle_gamma 90.00
_space_group_name_H-M_alt 'I 4/m m m'
_space_group_IT_number 139
_space_group_name_Hall '-I 4 2'
loop_
_atom_site_label
_atom_site_type_symbol
_atom_site_fract_x
_atom_site_fract_y
_atom_site_fract_z
_atom_site_occupancy
Gd1 Gd 0.000 0.000 0.000 1
Ge1 Ge 0.000 0.000 0.302 1
```

=====

[7]
VASP calculation (PBE) on a geometry-optimized GdGe3 structure.

Theoretical density (kg/m³): 6630

Structure (CIF):
```
data_GdGe3
_chemical_formula_sum 'Gd2 Ge6'
_cell_length_a 4.097
_cell_length_b 4.097
_cell_length_c 11.194
_cell_angle_alpha 90.00
_cell_angle_beta 90.00
_cell_angle_gamma 90.00
_space_group_name_H-M_alt 'I 4/m m m'
_space_group_IT_number 139
_space_group_name_Hall '-I 4 2'
loop_
_atom_site_label
_atom_site_type_symbol
_atom_site_fract_x
_atom_site_fract_y
_atom_site_fract_z
_atom_site_occupancy
Gd1 Gd 0.000 0.000 0.000 1
Ge1 Ge 0.000 0.000 0.278 1
Ge2 Ge 0.000 0.000 0.500 1
```

=====

[8]
VASP calculation (PBE) on a geometry-optimized GdGe structure.

Theoretical density (kg/m³): 8068

Structure (CIF):
```
data_GdGe
_chemical_formula_sum 'Gd4 Ge4'
_cell_length_a 4.339
_cell_length_b 10.871
_cell_length_c 4.012
_cell_angle_alpha 90.00
_cell_angle_beta 90.00
_cell_angle_gamma 90.00
_space_group_name_H-M_alt 'C m c m'
_space_group_IT_number 63
_space_group_name_Hall '-C 2c 2'
loop_
_atom_site_label
_atom_site_type_symbol
_atom_site_fract_x
_atom_site_fract_y
_atom_site_fract_z
_atom_site_occupancy
Gd1 Gd 0.000 0.139 0.250 1
Ge1 Ge 0.000 0.417 0.250 1
```

=====

Uncorrected energy? In order: -151.4 -77.7 -65.2 -151.9 -40.9 -49.1 -57.3 -81.7 eV for the cell shown.